NdCuH | GGA-PBE | relaxed

Output
SG: I4mm (107)
Calculated total energy in Ry per atom: -0.300

```
NdCuH
1.0
-1.778 1.778 4.393
1.778 -1.778 4.393
1.778 1.778 -4.393
Nd Cu H
1 1 1
Cartesian
0.000 0.000 0.000
0.000 0.000 5.946
0.000 0.000 4.220
```

Nd12Cu3H5 | GGA-PBE | relaxed

Output
SG: Ia-3d (230)
Calculated total energy in Ry per atom: -0.329

```
Nd12Cu3H5
1.0
-7.836 7.836 7.836
7.836 -7.836 7.836
7.836 7.836 -7.836
Nd Cu H
48 12 20
Cartesian
2.390 -0.594 0.950
9.364 4.868 -4.512
7.242 -0.950 2.390
12.348 -1.528 2.968
10.226 0.594 0.950
9.364 -2.968 4.512
0.950 2.390 -0.594
10.804 3.324 -1.528
4.868 4.512 -1.528
6.886 2.390 0.594
-0.594 0.950 2.390
4.512 -1.528 4.868
7.242 6.886 -2.390
4.512 1.528 2.968
6.886 -2.390 7.242
4.868 -4.512 9.364
2.968 4.512 1.528
8.786 5.446 0.594
2.390 7.242 -0.950
9.364 2.968 3.324
4.512 9.364 -2.968
7.242 0.950 5.446
1.528 2.968 4.512
2.390 0.594 6.886
5.446 7.242 0.950
6.308 4.868 3.324
0.594 6.886 2.390
3.324 -1.528 10.804
-1.528 4.868 4.512
5.446 0.594 8.786
-0.950 2.390 7.242
4.868 3.324 6.308
2.968 12.348 -1.528
0.950 10.226 0.594
3.324 6.308 4.868
0.594 0.950 10.226
3.324 9.364 2.968
8.430 6.886 5.446
0.950 5.446 7.242
2.968 3.324 9.364
-2.968 4.512 9.364
6.886 5.446 8.430
-1.528 10.804 3.324
-2.390 7.242 6.886
-4.512 9.364 4.868
0.594 8.786 5.446
-1.528 2.968 12.348
5.446 8.430 6.886
3.918 1.959 0.000
7.836 3.918 -1.959
1.959 0.000 3.918
9.795 0.000 3.918
0.000 3.918 1.959
3.918 -1.959 7.836
3.918 9.795 0.000
7.836 3.918 5.877
-1.959 7.836 3.918
5.877 7.836 3.918
0.000 3.918 9.795
3.918 5.877 7.836
0.000 0.000 0.000
3.918 3.918 -3.918
3.918 -3.918 3.918
7.836 0.000 0.000
11.754 1.959 0.000
7.836 -3.918 5.877
5.877 7.836 -3.918
5.877 0.000 3.918
3.918 5.877 0.000
7.836 3.918 1.959
-3.918 3.918 3.918
0.000 7.836 0.000
0.000 0.000 7.836
3.918 3.918 3.918
0.000 3.918 5.877
3.918 1.959 7.836
1.959 7.836 3.918
1.959 0.000 11.754
0.000 11.754 1.959
-3.918 5.877 7.836
```

Nd3Cu5H12 | GGA-PBE | relaxed

Output
SG: Ia-3d (230)
Calculated total energy in Ry per atom: -0.290

```
Nd3Cu5H12
1.0
-5.935 5.935 5.935
5.935 -5.935 5.935
5.935 5.935 -5.935
Nd Cu H
12 20 48
Cartesian
2.967 1.484 0.000
5.935 2.967 -1.484
1.484 0.000 2.967
7.418 0.000 2.967
0.000 2.967 1.484
2.967 -1.484 5.935
2.967 7.418 0.000
5.935 2.967 4.451
-1.484 5.935 2.967
4.451 5.935 2.967
0.000 2.967 7.418
2.967 4.451 5.935
0.000 0.000 0.000
2.967 2.967 -2.967
2.967 -2.967 2.967
5.935 0.000 0.000
8.902 1.484 0.000
5.935 -2.967 4.451
4.451 5.935 -2.967
4.451 0.000 2.967
2.967 4.451 0.000
5.935 2.967 1.484
-2.967 2.967 2.967
0.000 5.935 0.000
0.000 0.000 5.935
2.967 2.967 2.967
0.000 2.967 4.451
2.967 1.484 5.935
1.484 5.935 2.967
1.484 0.000 8.902
0.000 8.902 1.484
-2.967 4.451 5.935
1.753 -0.421 0.568
7.149 3.535 -3.389
7.687 0.421 0.568
7.149 -2.400 3.389
5.513 -0.568 1.753
9.323 -1.215 2.400
0.568 1.753 -0.421
8.334 2.546 -1.215
3.535 3.389 -1.215
5.367 1.753 0.421
-0.421 0.568 1.753
3.389 -1.215 3.535
5.513 5.367 -1.753
3.389 1.215 2.400
3.535 -3.389 7.149
5.367 -1.753 5.513
2.400 3.389 1.215
6.502 4.182 0.421
3.389 7.149 -2.400
5.513 0.568 4.182
1.753 5.513 -0.568
7.149 2.400 2.546
1.215 2.400 3.389
1.753 0.421 5.367
4.182 5.513 0.568
4.720 3.535 2.546
-1.215 3.535 3.389
4.182 0.421 6.502
0.421 5.367 1.753
2.546 -1.215 8.334
-0.568 1.753 5.513
3.535 2.546 4.720
0.568 7.687 0.421
2.400 9.323 -1.215
2.546 4.720 3.535
0.421 0.568 7.687
2.546 7.149 2.400
6.356 5.367 4.182
0.568 4.182 5.513
2.400 2.546 7.149
-2.400 3.389 7.149
5.367 4.182 6.356
-3.389 7.149 3.535
0.421 6.502 4.182
-1.215 8.334 2.546
-1.753 5.513 5.367
-1.215 2.400 9.323
4.182 6.356 5.367
```

NdCuH4 | GGA-PBE | relaxed

Output
SG: C2/c (15)
Calculated total energy in Ry per atom: -0.293

```
NdCuH4
1.0
4.323 -2.252 0.000
4.323 2.252 0.000
-2.260 0.000 6.004
Nd Cu H
2 2 8
Cartesian
2.628 1.214 4.503
3.758 -1.214 1.501
2.161 1.126 0.000
1.031 -1.126 3.002
0.396 0.275 3.913
3.686 0.887 0.454
1.526 -0.275 0.911
3.829 0.887 2.548
2.556 -0.887 3.456
4.860 0.275 5.093
2.699 -0.887 5.550
5.990 -0.275 2.091
```

Nd2CuNiH | GGA-PBE | relaxed

Output
SG: P2_1/m (11)
Calculated total energy in Ry per atom: -0.357

```
Nd2CuNiH
1.0
5.858 0.000 0.000
0.000 4.504 0.000
-2.698 0.000 7.064
Nd Cu Ni H
4 2 2 2
Cartesian
0.007 1.126 2.990
1.477 3.378 0.507
1.683 1.126 6.558
3.153 3.378 4.074
0.075 3.378 4.972
3.085 1.126 2.092
-1.213 1.126 5.606
4.373 3.378 1.458
0.830 1.126 0.152
2.330 3.378 6.913
```

NdCuH2O4 | GGA-PBE | relaxed

Output
SG: I222 (23)
Calculated total energy in Ry per atom: -0.433

```
NdCuH2O4
1.0
-2.367 2.739 3.133
2.367 -2.739 3.133
2.367 2.739 -3.133
Nd Cu H O
1 1 2 4
Cartesian
0.000 0.000 0.000
0.000 0.000 3.133
2.367 0.000 1.972
0.000 2.739 1.162
1.050 2.132 -1.196
1.317 0.607 1.938
1.317 -0.607 4.329
1.050 3.347 1.196
```

NdCuPH | GGA-PBE | relaxed

Output
SG: P4/nmm (129)
Calculated total energy in Ry per atom: -0.384

```
NdCuPH
1.0
3.889 0.000 0.000
0.000 3.889 0.000
0.000 0.000 7.990
Nd Cu P H
2 2 2 2
Cartesian
0.972 0.972 1.428
2.917 2.917 6.562
0.972 2.917 3.995
2.917 0.972 3.995
0.972 0.972 5.437
2.917 2.917 2.553
0.972 2.917 0.000
2.917 0.972 0.000
```

Nd2CuHPd6 | GGA-PBE | relaxed

Output
SG: P-1 (2)
Calculated total energy in Ry per atom: -0.396

```
Nd2CuHPd6
1.0
5.765 0.000 0.000
2.879 5.002 0.000
2.881 1.642 5.995
Nd Cu H Pd
2 1 1 6
Cartesian
2.884 1.666 1.952
8.642 4.978 4.042
5.763 3.322 2.997
0.000 0.000 0.000
5.758 4.977 4.874
4.320 2.474 4.862
4.327 4.170 1.126
7.199 2.475 4.869
7.206 4.170 1.132
5.767 1.667 1.120
```

NdCuH8Rh4 | GGA-PBE | relaxed

Output
SG: R3m (160)
Calculated total energy in Ry per atom: -0.355

```
NdCuH8Rh4
1.0
2.871 1.658 4.505
-2.871 1.658 4.505
0.000 -3.315 4.505
Nd Cu H Rh
1 1 8 4
Cartesian
0.000 0.000 0.000
0.000 0.000 8.234
0.000 -1.781 6.909
-1.542 0.890 6.909
0.000 0.000 5.120
-1.020 -0.589 9.656
1.020 -0.589 9.656
0.000 1.178 9.656
0.000 0.000 11.286
1.542 0.890 6.909
-1.419 -0.819 6.078
0.000 0.000 3.352
1.419 -0.819 6.078
0.000 1.639 6.078
```

Which total magnetization belongs to each record? In order, 0.20; 0.00; 0.00; 0.00; 0.00; 0.00; 0.00; 0.00; 0.00 μB/cell.